[1]
CdInCuHg2 after structural relaxation. Source: Alexandria via LeMat-Bulk, functional GGA-PBE.

**Fermi-level density of states**: 1.44 states/eV per cell
**DFT total energy**: -1.5096 eV/atom
**ΔE_f**: 0.1610 eV/atom
**Total magnetic moment**: 0.0 μB per cell
**ΔE to the lowest computed polymorph**: 0 meV/atom
**V**: 136 Å³ per cell

a b c (Å): 5.160 5.160 5.112
angles (deg): 90.00 90.00 90.00
Element x y z (fractional)
Cd1 0.500 0.500 0.500
Hg1 0.000 0.500 0.000
Hg2 0.500 0.000 0.000
Cu1 0.000 0.000 0.000
In1 0.000 0.000 0.500

***

[2]
Cd2InCuHg after structural relaxation. Source: Alexandria via LeMat-Bulk, functional GGA-PBE.

**Fermi-level density of states**: 2.37 states/eV per cell
**DFT total energy**: -1.6190 eV/atom
**ΔE_f**: 0.1744 eV/atom
**Total magnetic moment**: 0.0 μB per cell
**ΔE to the lowest computed polymorph**: 51 meV/atom
**V**: 131 Å³ per cell

a b c (Å): 5.074 5.074 5.075
angles (deg): 90.00 90.00 90.00
Element x y z (fractional)
Cd1 0.000 0.500 0.000
Cd2 0.500 0.000 0.000
Hg1 0.000 0.000 0.500
Cu1 0.000 0.000 0.000
In1 0.500 0.500 0.500

***

[3]
KCdCuHg2 after structural relaxation. Source: Alexandria via LeMat-Bulk, functional GGA-PBE.

**Fermi-level density of states**: 1.84 states/eV per cell
**DFT total energy**: -1.3910 eV/atom
**ΔE_f**: -0.0486 eV/atom
**Total magnetic moment**: 0.0 μB per cell
**V**: 143 Å³ per cell

a b c (Å): 5.235 5.235 5.201
angles (deg): 90.00 90.00 90.00
Element x y z (fractional)
K1 0.500 0.500 0.500
Hg1 0.000 0.500 0.000
Hg2 0.500 0.000 0.000
Cu1 0.000 0.000 0.000
Cd1 0.000 0.000 0.500

***

[4]
La4CdCuHg2 after structural relaxation. Source: Alexandria via LeMat-Bulk, functional GGA-PBE.

**Fermi-level density of states**: 8.63 states/eV per cell
**DFT total energy**: -3.5249 eV/atom
**ΔE_f**: -0.3593 eV/atom
**Total magnetic moment**: 0.0 μB per cell
**V**: 230 Å³ per cell

a b c (Å): 5.475 5.475 9.420
angles (deg): 73.10 73.10 60.00
Element x y z (fractional)
La1 0.383 0.383 0.850
La2 0.867 0.867 0.398
La3 0.133 0.133 0.602
La4 0.617 0.617 0.150
Cd1 0.000 0.000 0.000
Cu1 0.500 0.500 0.500
Hg1 0.743 0.743 0.772
Hg2 0.257 0.257 0.228

***

[5]
MnCdCu2Hg after structural relaxation. Source: Alexandria via LeMat-Bulk, functional GGA-PBE.

**Fermi-level density of states**: 2.52 states/eV per cell
**DFT total energy**: -2.8234 eV/atom
**ΔE_f**: 0.8924 eV/atom
**Total magnetic moment**: 4.4 μB per cell
**V**: 121 Å³ per cell

a b c (Å): 4.878 5.065 4.878
angles (deg): 90.00 90.00 90.00
Element x y z (fractional)
Mn1 0.000 0.500 0.000
Hg1 0.000 0.000 0.000
Cu1 0.000 0.000 0.500
Cu2 0.500 0.000 0.000
Cd1 0.500 0.500 0.500

***

[6]
NaCdCuHg after structural relaxation. Source: Alexandria via LeMat-Bulk, functional GGA-PBE.

**Fermi-level density of states**: 2.79 states/eV per cell
**DFT total energy**: -1.6021 eV/atom
**ΔE_f**: 0.0559 eV/atom
**Total magnetic moment**: 0.0 μB per cell
**V**: 80 Å³ per cell

a b c (Å): 4.836 4.836 4.836
angles (deg): 60.00 60.00 60.00
Element x y z (fractional)
Na1 0.500 0.500 0.500
Hg1 0.250 0.250 0.250
Cu1 0.000 0.000 0.000
Cd1 0.750 0.750 0.750

***

[7]
Nd4CdCuHg2 after structural relaxation. Source: Alexandria via LeMat-Bulk, functional GGA-PBE.

**Fermi-level density of states**: 7.98 states/eV per cell
**DFT total energy**: -3.4269 eV/atom
**ΔE_f**: -0.3411 eV/atom
**Total magnetic moment**: 0.9 μB per cell
**V**: 217 Å³ per cell

a b c (Å): 5.367 5.367 9.252
angles (deg): 73.14 73.14 60.00
Element x y z (fractional)
Nd1 0.382 0.382 0.853
Nd2 0.869 0.869 0.393
Nd3 0.131 0.131 0.607
Nd4 0.618 0.618 0.147
Cd1 0.000 0.000 0.000
Cu1 0.500 0.500 0.500
Hg1 0.743 0.743 0.770
Hg2 0.257 0.257 0.230

***

[8]
CdCuNiHg after structural relaxation. Source: Alexandria via LeMat-Bulk, functional GGA-PBE.

**Fermi-level density of states**: 2.42 states/eV per cell
**DFT total energy**: -2.6425 eV/atom
**ΔE_f**: 0.1311 eV/atom
**Total magnetic moment**: 0.0 μB per cell
**V**: 64 Å³ per cell

a b c (Å): 4.490 4.490 4.490
angles (deg): 60.00 60.00 60.00
Element x y z (fractional)
Ni1 0.000 0.000 0.000
Hg1 0.250 0.250 0.250
Cu1 0.500 0.500 0.500
Cd1 0.750 0.750 0.750